# CaTl2Au

A relaxed CaTl2Au crystal (PBE-GGA, Alexandria).

Total DFT energy (no corrections)   -2.818 eV/atom

Cell lengths 4.7602, 4.7602, 9.1033 Å; angles 90.00, 90.00, 90.00 degrees
Closest atoms and distances in Å follow each position.
Sites, in units of the cell vectors:
Ca 0.0000 0.0000 0.0000  8 Tl 3.29-3.37, 4 Au 3.29
Ca 0.5000 0.5000 0.5000  8 Tl 3.29-3.37, 4 Au 3.29
Tl 0.0000 0.0000 0.5000  4 Tl 3.29, 4 Au 3.29, 4 Ca 3.37
Tl 0.0000 0.5000 0.7500  4 Tl 3.29, 4 Ca 3.29, 4 Au 3.37
Tl 0.5000 0.0000 0.2500  4 Ca 3.29, 4 Tl 3.29, 4 Au 3.37
Tl 0.5000 0.5000 0.0000  4 Tl 3.29, 4 Au 3.29, 4 Ca 3.37
Au 0.0000 0.5000 0.2500  4 Ca 3.29, 8 Tl 3.29-3.37
Au 0.5000 0.0000 0.7500  8 Tl 3.29-3.37, 4 Ca 3.29